[1]
{
  "formula": "La2BiSe",
  "functional": "PBE-GGA",
  "state": "relaxed",
  "lattice": [[2.259, 1.304, 7.356], [-2.259, 1.304, 7.356], [0.000, -2.608, 7.356]],
  "species": ["La", "La", "Bi", "Se"],
  "fractional_positions": [[0.244, 0.244, 0.244], [0.756, 0.756, 0.756], [0.000, 0.000, 0.000], [0.500, 0.500, 0.500]],
  "rho_kg_m3": 7226,
  "relative_energy_mev_per_atom": 0,
  "e_form_raw_ev_per_atom": -1.51,
  "sg": "R-3m, No. 166",
  "dos_at_fermi_per_ev_atom": 0.56,
  "crystal_system": "trigonal"
}

=====

[2]
{
  "formula": "CdNi3I",
  "functional": "PBE-GGA",
  "state": "relaxed",
  "lattice": [[4.647, 0.000, 0.000], [0.000, 4.647, 0.000], [0.000, 0.000, 4.647]],
  "species": ["Cd", "Ni", "Ni", "Ni", "I"],
  "fractional_positions": [[0.000, 0.000, 0.000], [0.000, 0.500, 0.500], [0.500, 0.000, 0.500], [0.500, 0.500, 0.000], [0.500, 0.500, 0.500]],
  "rho_kg_m3": 6875,
  "relative_energy_mev_per_atom": 0,
  "e_form_raw_ev_per_atom": 0.88,
  "sg": "Pm-3m, No. 221",
  "dos_at_fermi_per_ev_atom": 0.54,
  "crystal_system": "cubic"
}

=====

[3]
{
  "formula": "SiH2Br",
  "functional": "PBE-GGA",
  "state": "relaxed",
  "lattice": [[2.643, 0.000, 0.000], [0.000, 7.615, 0.000], [0.000, 0.000, 3.037]],
  "species": ["Si", "H", "H", "Br"],
  "fractional_positions": [[0.000, 0.000, 0.000], [0.000, 0.155, 0.324], [0.000, 0.845, 0.324], [0.500, 0.500, 0.726]],
  "rho_kg_m3": 2989,
  "relative_energy_mev_per_atom": 284,
  "sg": "Pmm2, No. 25",
  "dos_at_fermi_per_ev_atom": 0.33,
  "crystal_system": "orthorhombic"
}

=====

[4]
{
  "formula": "EuErZnCd",
  "functional": "PBE-GGA",
  "state": "relaxed",
  "lattice": [[0.000, 3.728, 3.728], [3.728, 0.000, 3.728], [3.728, 3.728, 0.000]],
  "species": ["Eu", "Er", "Zn", "Cd"],
  "fractional_positions": [[0.000, 0.000, 0.000], [0.500, 0.500, 0.500], [0.250, 0.250, 0.250], [0.750, 0.750, 0.750]],
  "rho_kg_m3": 7967,
  "e_form_ev_per_atom": -0.267,
  "sg": "F-43m, No. 216",
  "dos_at_fermi_per_ev_atom": 1.33,
  "crystal_system": "cubic"
}

=====

[5]
{
  "formula": "ScTlC",
  "functional": "PBE-GGA",
  "state": "relaxed",
  "lattice": [[2.000, 1.155, 8.894], [-2.000, 1.155, 8.894], [0.000, -2.309, 8.894]],
  "species": ["Sc", "Sc", "Tl", "Tl", "C", "C"],
  "fractional_positions": [[0.129, 0.129, 0.129], [0.871, 0.871, 0.871], [0.296, 0.296, 0.296], [0.704, 0.704, 0.704], [0.211, 0.211, 0.211], [0.789, 0.789, 0.789]],
  "rho_kg_m3": 7043,
  "e_form_ev_per_atom": 0.145,
  "sg": "R-3m, No. 166",
  "dos_at_fermi_per_ev_atom": 0.14,
  "crystal_system": "trigonal"
}

=====

[6]
{
  "formula": "TbScTl",
  "functional": "PBE-GGA",
  "state": "relaxed",
  "lattice": [[5.063, 0.000, 0.000], [-2.532, 4.385, 0.000], [0.000, 0.000, 3.674]],
  "species": ["Tb", "Sc", "Tl"],
  "fractional_positions": [[0.000, 0.000, 0.000], [0.667, 0.333, 0.500], [0.333, 0.667, 0.500]],
  "rho_kg_m3": 8310,
  "e_form_ev_per_atom": -0.179,
  "relative_energy_mev_per_atom": 92,
  "sg": "P-6m2, No. 187",
  "dos_at_fermi_per_ev_atom": 0.94,
  "crystal_system": "hexagonal"
}

=====

[7]
{
  "formula": "InAuO3",
  "functional": "PBE-GGA",
  "state": "relaxed",
  "lattice": [[4.065, 0.000, 0.000], [0.000, 4.065, 0.000], [0.000, 0.000, 4.065]],
  "species": ["In", "Au", "O", "O", "O"],
  "fractional_positions": [[0.000, 0.000, 0.000], [0.500, 0.500, 0.500], [0.000, 0.500, 0.500], [0.500, 0.000, 0.500], [0.500, 0.500, 0.000]],
  "rho_kg_m3": 8895,
  "e_form_raw_ev_per_atom": 0.00,
  "sg": "Pm-3m, No. 221",
  "dos_at_fermi_per_ev_atom": 0.31,
  "crystal_system": "cubic"
}

=====

[8]
{
  "formula": "KSrNO2",
  "functional": "PBE-GGA",
  "state": "relaxed",
  "lattice": [[4.758, 0.000, 0.000], [0.000, 4.758, 0.000], [0.000, 0.000, 5.104]],
  "species": ["K", "Sr", "N", "O", "O"],
  "fractional_positions": [[0.000, 0.000, 0.000], [0.500, 0.500, 0.500], [0.500, 0.500, 0.000], [0.000, 0.500, 0.500], [0.500, 0.000, 0.500]],
  "rho_kg_m3": 2482,
  "e_form_raw_ev_per_atom": -0.18,
  "sg": "P4/mmm, No. 123",
  "dos_at_fermi_per_ev_atom": 0.79,
  "crystal_system": "tetragonal"
}

=====

[9]
{
  "formula": "Sc6ZnCd5",
  "functional": "PBE-GGA",
  "state": "relaxed",
  "lattice": [[4.953, 0.000, 0.000], [0.000, 7.022, 0.000], [-2.459, 0.000, 7.448]],
  "species": ["Sc", "Sc", "Sc", "Sc", "Sc", "Sc", "Zn", "Cd", "Cd", "Cd", "Cd", "Cd"],
  "fractional_positions": [[0.000, 0.239, 0.000], [0.000, 0.761, 0.000], [0.338, 0.245, 0.676], [0.338, 0.755, 0.676], [0.662, 0.245, 0.324], [0.662, 0.755, 0.324], [0.500, 0.000, 0.000], [0.168, 0.500, 0.336], [0.169, 0.000, 0.339], [0.500, 0.500, 0.000], [0.831, 0.000, 0.661], [0.832, 0.500, 0.664]],
  "rho_kg_m3": 5751,
  "e_form_ev_per_atom": -0.299,
  "sg": "P2/m, No. 10",
  "dos_at_fermi_per_ev_atom": 0.92,
  "crystal_system": "monoclinic"
}

=====

[10]
{
  "formula": "Ac2ZnCd3In4",
  "functional": "PBE-GGA",
  "state": "relaxed",
  "lattice": [[4.762, 0.000, 0.000], [0.000, 4.762, 0.000], [0.000, 0.000, 11.958]],
  "species": ["Ac", "Ac", "Zn", "Cd", "Cd", "Cd", "In", "In", "In", "In"],
  "fractional_positions": [[0.000, 0.500, 0.239], [0.500, 0.000, 0.761], [0.500, 0.500, 0.000], [0.000, 0.000, 0.000], [0.000, 0.500, 0.642], [0.500, 0.000, 0.358], [0.000, 0.000, 0.500], [0.000, 0.500, 0.872], [0.500, 0.000, 0.128], [0.500, 0.500, 0.500]],
  "rho_kg_m3": 8056,
  "e_form_ev_per_atom": -0.320,
  "sg": "P-4m2, No. 115",
  "dos_at_fermi_per_ev_atom": 0.31,
  "crystal_system": "tetragonal"
}

=====

[11]
{
  "formula": "SrZrPt2",
  "functional": "PBE-GGA",
  "state": "relaxed",
  "lattice": [[0.000, 3.490, 3.490], [3.490, 0.000, 3.490], [3.490, 3.490, 0.000]],
  "species": ["Sr", "Zr", "Pt", "Pt"],
  "fractional_positions": [[0.000, 0.000, 0.000], [0.500, 0.500, 0.500], [0.250, 0.250, 0.250], [0.750, 0.750, 0.750]],
  "rho_kg_m3": 11114,
  "e_form_ev_per_atom": -0.629,
  "relative_energy_mev_per_atom": 283,
  "sg": "Fm-3m, No. 225",
  "dos_at_fermi_per_ev_atom": 0.97,
  "crystal_system": "cubic"
}

=====

[12]
{
  "formula": "InCuSi",
  "functional": "PBE-GGA",
  "state": "relaxed",
  "lattice": [[3.237, 0.000, 0.000], [-1.618, 2.803, 0.000], [0.000, 0.000, 5.890]],
  "species": ["In", "Cu", "Si"],
  "fractional_positions": [[0.000, 0.000, 0.000], [0.333, 0.667, 0.647], [0.667, 0.333, 0.387]],
  "rho_kg_m3": 6415,
  "e_form_raw_ev_per_atom": 0.24,
  "sg": "P3m1, No. 156",
  "dos_at_fermi_per_ev_atom": 0.17,
  "crystal_system": "trigonal"
}

=====

[13]
{
  "formula": "ScAl2Pb",
  "functional": "PBE-GGA",
  "state": "relaxed",
  "lattice": [[3.081, 0.000, 0.000], [0.000, 4.799, 0.000], [0.000, 0.000, 5.917]],
  "species": ["Sc", "Al", "Al", "Pb"],
  "fractional_positions": [[0.000, 0.000, 0.000], [0.500, 0.500, 0.219], [0.500, 0.500, 0.781], [0.500, 0.000, 0.500]],
  "rho_kg_m3": 5810,
  "e_form_ev_per_atom": -0.068,
  "sg": "Pmmm, No. 47",
  "dos_at_fermi_per_ev_atom": 0.60,
  "crystal_system": "orthorhombic"
}

=====

[14]
{
  "formula": "KNiCl",
  "functional": "PBE-GGA",
  "state": "relaxed",
  "lattice": [[5.956, -1.719, 0.000], [5.956, 1.719, 0.000], [-1.025, 0.000, 6.915]],
  "species": ["K", "K", "Ni", "Ni", "Cl", "Cl"],
  "fractional_positions": [[0.097, 0.097, 0.290], [0.903, 0.903, 0.710], [0.207, 0.207, 0.894], [0.793, 0.793, 0.106], [0.370, 0.370, 0.309], [0.630, 0.630, 0.691]],
  "rho_kg_m3": 3126,
  "relative_energy_mev_per_atom": 68,
  "e_form_raw_ev_per_atom": -0.55,
  "sg": "C2/m, No. 12",
  "dos_at_fermi_per_ev_atom": 0.00,
  "crystal_system": "monoclinic"
}

=====

[15]
{
  "formula": "NaAuCl3",
  "functional": "PBE-GGA",
  "state": "relaxed",
  "lattice": [[7.286, 0.000, 0.000], [0.000, 8.333, 0.000], [-2.801, 0.000, 9.712]],
  "species": ["Na", "Na", "Na", "Na", "Au", "Au", "Au", "Au", "Cl", "Cl", "Cl", "Cl", "Cl", "Cl", "Cl", "Cl", "Cl", "Cl", "Cl", "Cl"],
  "fractional_positions": [[0.180, 0.169, 0.249], [0.180, 0.331, 0.749], [0.820, 0.669, 0.251], [0.820, 0.831, 0.751], [0.424, 0.744, 0.932], [0.424, 0.756, 0.432], [0.576, 0.244, 0.568], [0.576, 0.256, 0.068], [0.122, 0.623, 0.864], [0.122, 0.877, 0.364], [0.266, 0.150, 0.996], [0.266, 0.350, 0.496], [0.425, 0.726, 0.183], [0.425, 0.774, 0.683], [0.575, 0.226, 0.317], [0.575, 0.274, 0.817], [0.734, 0.650, 0.504], [0.734, 0.850, 0.004], [0.878, 0.123, 0.636], [0.878, 0.377, 0.136]],
  "rho_kg_m3": 3676,
  "relative_energy_mev_per_atom": 108,
  "e_form_raw_ev_per_atom": -0.88,
  "sg": "P2_1/c, No. 14",
  "dos_at_fermi_per_ev_atom": 0.13,
  "crystal_system": "monoclinic"
}

=====

[16]
{
  "formula": "Sc2SiRh",
  "functional": "PBE-GGA",
  "state": "relaxed",
  "lattice": [[1.609, 0.929, 8.153], [-1.609, 0.929, 8.153], [0.000, -1.858, 8.153]],
  "species": ["Sc", "Sc", "Si", "Rh"],
  "fractional_positions": [[0.247, 0.247, 0.247], [0.753, 0.753, 0.753], [0.000, 0.000, 0.000], [0.500, 0.500, 0.500]],
  "rho_kg_m3": 5015,
  "e_form_raw_ev_per_atom": -0.50,
  "sg": "R-3m, No. 166",
  "dos_at_fermi_per_ev_atom": 0.79,
  "crystal_system": "trigonal"
}

=====

[17]
{
  "formula": "AlSbO",
  "functional": "PBE-GGA",
  "state": "relaxed",
  "lattice": [[1.474, -9.050, 0.000], [1.474, 9.050, 0.000], [0.000, 0.000, 4.843]],
  "species": ["Al", "Al", "Sb", "Sb", "O", "O"],
  "fractional_positions": [[0.206, 0.794, 0.500], [0.794, 0.206, 0.000], [0.061, 0.939, 0.368], [0.939, 0.061, 0.868], [0.263, 0.737, 0.185], [0.737, 0.263, 0.685]],
  "rho_kg_m3": 4234,
  "relative_energy_mev_per_atom": 1,
  "e_form_raw_ev_per_atom": -1.50,
  "sg": "Cmc2_1, No. 36",
  "dos_at_fermi_per_ev_atom": 0.20,
  "crystal_system": "orthorhombic"
}

=====

[18]
{
  "formula": "Na2Cd2Au",
  "functional": "PBE-GGA",
  "state": "relaxed",
  "lattice": [[-2.431, 2.431, 11.004], [2.431, -2.431, 11.004], [2.431, 2.431, -11.004]],
  "species": ["Na", "Na", "Na", "Na", "Cd", "Cd", "Cd", "Cd", "Au", "Au"],
  "fractional_positions": [[0.055, 0.305, 0.750], [0.305, 0.055, 0.250], [0.695, 0.945, 0.750], [0.945, 0.695, 0.250], [0.200, 0.450, 0.750], [0.450, 0.200, 0.250], [0.550, 0.800, 0.750], [0.800, 0.550, 0.250], [0.375, 0.625, 0.750], [0.625, 0.375, 0.250]],
  "rho_kg_m3": 5970,
  "e_form_ev_per_atom": -0.136,
  "relative_energy_mev_per_atom": 80,
  "sg": "I4_1/amd, No. 141",
  "dos_at_fermi_per_ev_atom": 0.28,
  "crystal_system": "tetragonal"
}

=====

[19]
{
  "formula": "TmPuHgO6",
  "functional": "PBE-GGA",
  "state": "relaxed",
  "lattice": [[5.127, 0.000, 0.000], [0.000, 5.127, 0.000], [0.000, 0.000, 10.163]],
  "species": ["Tm", "Tm", "Pu", "Pu", "Hg", "Hg", "O", "O", "O", "O", "O", "O", "O", "O", "O", "O", "O", "O"],
  "fractional_positions": [[0.000, 0.000, 0.000], [0.500, 0.500, 0.500], [0.000, 0.000, 0.663], [0.500, 0.500, 0.163], [0.000, 0.000, 0.330], [0.500, 0.500, 0.830], [0.179, 0.179, 0.818], [0.197, 0.197, 0.521], [0.222, 0.222, 0.156], [0.278, 0.722, 0.656], [0.303, 0.697, 0.021], [0.321, 0.679, 0.318], [0.679, 0.321, 0.318], [0.697, 0.303, 0.021], [0.722, 0.278, 0.656], [0.778, 0.778, 0.156], [0.803, 0.803, 0.521], [0.821, 0.821, 0.818]],
  "rho_kg_m3": 8819,
  "e_form_raw_ev_per_atom": -2.18,
  "sg": "P4_2nm, No. 102",
  "dos_at_fermi_per_ev_atom": 0.11,
  "crystal_system": "tetragonal"
}

=====

[20]
{
  "formula": "LaCdH2",
  "functional": "PBE-GGA",
  "state": "relaxed",
  "lattice": [[0.000, 3.152, 3.152], [3.152, 0.000, 3.152], [3.152, 3.152, 0.000]],
  "species": ["La", "Cd", "H", "H"],
  "fractional_positions": [[0.000, 0.000, 0.000], [0.500, 0.500, 0.500], [0.250, 0.250, 0.250], [0.750, 0.750, 0.750]],
  "rho_kg_m3": 6714,
  "relative_energy_mev_per_atom": 0,
  "sg": "Fm-3m, No. 225",
  "dos_at_fermi_per_ev_atom": 0.50,
  "crystal_system": "cubic"
}